Record 1
Material: ZrCoBiPt
Method: DFT, PBE-GGA
State: optimized geometry

Cell and atoms, written as POSCAR:
```
ZrCoBiPt
1.0
0.771 -4.032 2.285
-1.648 -0.581 4.361
-3.554 -2.968 0.792
Bi Co Pt Zr
1 1 1 1
Direct
0.000 0.000 0.000 Bi
0.750 0.750 0.750 Co
0.500 0.500 0.500 Pt
0.250 0.250 0.250 Zr
```

Properties
**Crystal system**: cubic
**E above lowest polymorph**: 0.0884 eV/atom

***

Record 2
Material: Na6CdBr8
Method: DFT, PBE-GGA
State: optimized geometry

Cell and atoms, written as POSCAR:
```
Na6CdBr8
1.0
0.000 5.997 5.997
5.997 0.000 5.997
5.997 5.997 0.000
Br Na Cd
8 6 1
Direct
0.765 0.765 0.235 Br
0.765 0.235 0.765 Br
0.235 0.765 0.765 Br
0.235 0.765 0.235 Br
0.250 0.250 0.250 Br
0.750 0.750 0.750 Br
0.765 0.235 0.235 Br
0.235 0.235 0.765 Br
0.000 0.000 0.500 Na
0.500 0.500 0.000 Na
0.000 0.500 0.000 Na
0.500 0.000 0.000 Na
0.000 0.500 0.500 Na
0.500 0.000 0.500 Na
0.000 0.000 0.000 Cd
```

Properties
**VASP energy**: -2.906 eV/atom
**Crystal system**: cubic

***

Record 3
Material: Y2ZrAl3Cu2Ni
Method: DFT, PBE-GGA
State: optimized geometry

Cell and atoms, written as POSCAR:
```
Y2ZrAl3Cu2Ni
1.0
3.925 0.000 0.000
0.000 6.054 3.445
0.000 -6.054 3.445
Ni Al Y Cu Zr
1 3 2 2 1
Direct
0.000 0.009 0.009 Ni
0.500 0.757 0.757 Al
0.500 0.010 0.237 Al
0.500 0.237 0.010 Al
0.000 0.589 0.000 Y
0.000 0.000 0.589 Y
0.500 0.656 0.337 Cu
0.500 0.337 0.656 Cu
0.000 0.406 0.406 Zr
```

Properties
**VASP energy**: -5.574 eV/atom
**Crystal system**: orthorhombic

***

Record 4
Material: Y2TcB
Method: DFT, PBE-GGA
State: optimized geometry

Cell and atoms, written as POSCAR:
```
Y2TcB
1.0
3.356 2.169 2.351
-0.601 1.029 4.480
2.403 -2.279 3.244
Tc B Y
1 1 2
Direct
0.250 0.250 0.250 Tc
0.500 0.500 0.500 B
0.000 0.000 0.000 Y
0.750 0.750 0.750 Y
```

Properties
**VASP energy**: -6.846 eV/atom
**Crystal system**: cubic

***

Record 5
Material: LiYPa
Method: DFT, PBE-GGA
State: optimized geometry

Cell and atoms, written as POSCAR:
```
LiYPa
1.0
0.000 3.414 3.414
3.414 0.000 3.414
3.414 3.414 0.000
Y Pa Li
1 1 1
Direct
0.250 0.250 0.250 Y
0.000 0.000 0.000 Pa
0.500 0.500 0.500 Li
```

Properties
**Crystal system**: cubic
**E above lowest polymorph**: 0.0000 eV/atom

***

Record 6
Material: Y4Ni2CN
Method: DFT, PBE-GGA
State: optimized geometry

Cell and atoms, written as POSCAR:
```
Y4Ni2CN
1.0
3.578 0.000 0.000
-1.789 3.098 0.000
0.000 0.000 13.221
Y C N Ni
4 1 1 2
Direct
0.333 0.667 0.397 Y
0.667 0.333 0.897 Y
0.333 0.667 0.103 Y
0.667 0.333 0.603 Y
0.000 0.000 0.000 C
0.000 0.000 0.500 N
0.333 0.667 0.746 Ni
0.667 0.333 0.254 Ni
```

Properties
**VASP energy**: -7.303 eV/atom
**Crystal system**: trigonal

***

Record 7
Material: YHoAg4
Method: DFT, PBE-GGA
State: optimized geometry

Cell and atoms, written as POSCAR:
```
YHoAg4
1.0
5.379 -0.320 2.074
-1.863 -4.019 3.704
0.384 0.081 -5.761
Ho Ag Y
1 4 1
Direct
0.043 0.043 0.000 Ho
0.625 0.335 0.290 Ag
0.454 0.665 0.789 Ag
0.045 0.335 0.710 Ag
0.876 0.665 0.211 Ag
0.458 0.958 0.500 Y
```

Properties
**ΔH_f (0 K)**: -0.271 eV/atom
**Crystal system**: orthorhombic
**E above lowest polymorph**: 0.0640 eV/atom

***

Record 8
Material: Cu7Ag3
Method: DFT, PBE-GGA
State: optimized geometry

Cell and atoms, written as POSCAR:
```
Cu7Ag3
1.0
6.558 0.000 0.000
0.000 2.727 0.000
-1.936 0.000 7.679
Ag Cu
3 7
Direct
0.102 0.500 0.281 Ag
0.510 0.500 0.502 Ag
0.184 0.000 0.617 Ag
0.703 0.500 0.096 Cu
0.881 0.500 0.710 Cu
0.801 0.000 0.389 Cu
0.995 0.000 0.980 Cu
0.305 0.500 0.918 Cu
0.421 0.000 0.188 Cu
0.599 0.000 0.819 Cu
```

Properties
**ΔH_f (0 K)**: 0.080 eV/atom
**Crystal system**: monoclinic
**E above lowest polymorph**: 0.0352 eV/atom

***

Record 9
Material: ZrTeNO
Method: DFT, PBE-GGA
State: optimized geometry

Cell and atoms, written as POSCAR:
```
ZrTeNO
1.0
-2.372 2.225 0.466
-1.118 -2.499 6.239
4.656 4.417 2.603
Zr N O Te
2 2 2 2
Direct
0.000 0.494 0.365 Zr
0.000 0.994 0.635 Zr
0.000 0.806 0.383 N
0.000 0.306 0.617 N
0.500 0.441 0.213 O
0.500 0.941 0.787 O
0.500 0.512 0.749 Te
0.500 0.012 0.251 Te
```

Properties
**Crystal system**: orthorhombic
**E above lowest polymorph**: 0.2343 eV/atom

***

Record 10
Material: DyEr2In3Pd2Au
Method: DFT, PBE-GGA
State: optimized geometry

Cell and atoms, written as POSCAR:
```
DyEr2In3Pd2Au
1.0
3.792 0.000 0.000
0.000 6.756 3.893
0.000 -6.756 3.893
In Pd Er Dy Au
3 2 2 1 1
Direct
0.000 0.270 0.000 In
0.000 0.730 0.730 In
0.000 0.000 0.270 In
0.000 0.333 0.668 Pd
0.000 0.668 0.333 Pd
0.500 0.000 0.595 Er
0.500 0.595 0.000 Er
0.500 0.405 0.405 Dy
0.500 0.999 0.999 Au
```

Properties
**VASP energy**: -4.728 eV/atom
**Crystal system**: orthorhombic

***

Record 11
Material: LiTl2AgCl6
Method: DFT, PBE-GGA
State: optimized geometry

Cell and atoms, written as POSCAR:
```
LiTl2AgCl6
1.0
-5.507 -2.110 3.923
-6.439 -0.492 -2.910
-2.908 -6.363 -1.110
Cl Ag Tl Li
6 1 2 1
Direct
0.749 0.749 0.251 Cl
0.749 0.251 0.749 Cl
0.251 0.749 0.251 Cl
0.749 0.251 0.251 Cl
0.251 0.251 0.749 Cl
0.251 0.749 0.749 Cl
0.000 0.000 0.000 Ag
0.750 0.750 0.750 Tl
0.250 0.250 0.250 Tl
0.500 0.500 0.500 Li
```

Properties
**VASP energy**: -2.855 eV/atom
**Crystal system**: cubic

***

Record 12
Material: YNbNiBi
Method: DFT, PBE-GGA
State: optimized geometry

Cell and atoms, written as POSCAR:
```
YNbNiBi
1.0
0.000 3.468 3.468
3.468 0.000 3.468
3.468 3.468 0.000
Y Bi Nb Ni
1 1 1 1
Direct
0.500 0.500 0.500 Y
0.000 0.000 0.000 Bi
0.250 0.250 0.250 Nb
0.750 0.750 0.750 Ni
```

Properties
**VASP energy**: -6.221 eV/atom
**Crystal system**: cubic

***

Record 13
Material: Au
Method: DFT, PBE-GGA
State: optimized geometry

Cell and atoms, written as POSCAR:
```
Au
1.0
-1.795 -1.497 1.672
0.858 -2.436 -1.260
33.117 -4.602 31.443
Au
16
Direct
0.000 0.500 0.707 Au
0.000 0.500 0.615 Au
0.000 0.500 0.431 Au
0.500 0.000 0.753 Au
0.500 0.000 0.661 Au
0.500 0.000 0.569 Au
0.500 0.000 0.293 Au
0.500 0.000 0.477 Au
0.000 0.500 0.247 Au
0.500 0.000 0.200 Au
0.000 0.500 0.339 Au
0.000 0.500 0.523 Au
0.500 0.000 0.847 Au
0.000 0.500 0.153 Au
0.000 0.500 0.800 Au
0.500 0.000 0.385 Au
```

Properties
**ΔH_f (0 K)**: 0.060 eV/atom
**Crystal system**: tetragonal
**E above lowest polymorph**: 0.0596 eV/atom

***

Record 14
Material: Cu2Ag3
Method: DFT, PBE-GGA
State: optimized geometry

Cell and atoms, written as POSCAR:
```
Cu2Ag3
1.0
6.936 0.000 0.000
0.000 2.853 0.000
-1.529 0.000 7.853
Ag Cu
6 4
Direct
0.186 0.500 0.608 Ag
0.274 0.000 0.930 Ag
0.817 0.500 0.397 Ag
0.501 0.000 0.495 Ag
0.591 0.500 0.813 Ag
0.124 0.000 0.263 Ag
0.889 0.000 0.709 Cu
0.711 0.000 0.103 Cu
0.959 0.500 0.981 Cu
0.448 0.500 0.201 Cu
```

Properties
**ΔH_f (0 K)**: 0.073 eV/atom
**Crystal system**: monoclinic
**E above lowest polymorph**: 0.0411 eV/atom

***

Record 15
Material: NdP2Pd2
Method: DFT, PBE-GGA
State: optimized geometry

Cell and atoms, written as POSCAR:
```
NdP2Pd2
1.0
5.400 -0.008 -2.091
4.003 3.266 2.616
-4.018 -3.887 1.511
P Nd Pd
2 1 2
Direct
0.613 0.613 0.000 P
0.387 0.387 0.000 P
0.000 0.000 0.000 Nd
0.250 0.750 0.500 Pd
0.750 0.250 0.500 Pd
```

Properties
**VASP energy**: -6.154 eV/atom
**Crystal system**: tetragonal

***

Record 16
Material: Na4Hf2Si3O12
Method: DFT, PBE-GGA
State: optimized geometry

Cell and atoms, written as POSCAR:
```
Na4Hf2Si3O12
1.0
-1.325 -8.135 -3.618
4.443 -7.038 3.428
-4.593 -6.139 4.715
O Si Na Hf
24 6 8 4
Direct
0.583 0.235 0.435 O
0.702 0.876 0.490 O
0.435 0.583 0.235 O
0.876 0.490 0.702 O
0.124 0.510 0.298 O
0.065 0.265 0.917 O
0.490 0.702 0.876 O
0.202 0.990 0.376 O
0.990 0.376 0.202 O
0.798 0.010 0.624 O
0.235 0.435 0.583 O
0.917 0.065 0.265 O
0.510 0.298 0.124 O
0.083 0.935 0.735 O
0.417 0.765 0.565 O
0.565 0.417 0.765 O
0.010 0.624 0.798 O
0.265 0.917 0.065 O
0.935 0.735 0.083 O
0.765 0.565 0.417 O
0.298 0.124 0.510 O
0.624 0.798 0.010 O
0.735 0.083 0.935 O
0.376 0.202 0.990 O
0.048 0.452 0.750 Si
0.250 0.952 0.548 Si
0.548 0.250 0.952 Si
0.452 0.750 0.048 Si
0.952 0.548 0.250 Si
0.750 0.048 0.452 Si
0.886 0.250 0.614 Na
0.250 0.614 0.886 Na
0.750 0.386 0.114 Na
0.114 0.750 0.386 Na
0.614 0.886 0.250 Na
0.000 0.000 0.000 Na
0.500 0.500 0.500 Na
0.386 0.114 0.750 Na
0.146 0.146 0.146 Hf
0.646 0.646 0.646 Hf
0.354 0.354 0.354 Hf
0.854 0.854 0.854 Hf
```

Properties
**VASP energy**: -7.598 eV/atom
**Crystal system**: trigonal

***

Record 17
Material: AgHgTe2
Method: DFT, PBE-GGA
State: optimized geometry

Cell and atoms, written as POSCAR:
```
AgHgTe2
1.0
0.000 3.712 3.712
3.712 0.000 3.712
3.712 3.712 0.000
Te Ag Hg
2 1 1
Direct
0.000 0.000 0.000 Te
0.250 0.250 0.250 Te
0.750 0.750 0.750 Ag
0.500 0.500 0.500 Hg
```

Properties
**VASP energy**: -2.075 eV/atom
**Crystal system**: cubic

***

Record 18
Material: CsNiAu
Method: DFT, PBE-GGA
State: optimized geometry

Cell and atoms, written as POSCAR:
```
CsNiAu
1.0
1.496 0.347 4.628
-2.818 -1.685 3.606
1.309 -4.010 2.446
Au Ni Cs
1 1 1
Direct
0.250 0.250 0.250 Au
0.000 0.000 0.000 Ni
0.750 0.750 0.750 Cs
```

Properties
**Crystal system**: cubic
**E above lowest polymorph**: 0.0000 eV/atom

***

Record 19
Material: CsTaAgAu
Method: DFT, PBE-GGA
State: optimized geometry

Cell and atoms, written as POSCAR:
```
CsTaAgAu
1.0
0.000 3.741 3.741
3.741 0.000 3.741
3.741 3.741 0.000
Cs Au Ag Ta
1 1 1 1
Direct
0.000 0.000 0.000 Cs
0.750 0.750 0.750 Au
0.250 0.250 0.250 Ag
0.500 0.500 0.500 Ta
```

Properties
**Crystal system**: cubic
**E above lowest polymorph**: 0.0499 eV/atom

***

Record 20
Material: CuSbPtS3
Method: DFT, PBE-GGA
State: optimized geometry

Cell and atoms, written as POSCAR:
```
CuSbPtS3
1.0
4.929 0.000 0.000
0.000 7.689 0.000
0.000 0.000 12.619
Pt S Cu Sb
4 12 4 4
Direct
0.992 0.137 0.252 Pt
0.492 0.363 0.748 Pt
0.008 0.637 0.248 Pt
0.508 0.863 0.752 Pt
0.262 0.864 0.914 S
0.239 0.634 0.412 S
0.762 0.636 0.086 S
0.254 0.616 0.705 S
0.754 0.884 0.295 S
0.761 0.134 0.088 S
0.246 0.384 0.205 S
0.738 0.364 0.586 S
0.238 0.136 0.414 S
0.261 0.366 0.912 S
0.739 0.866 0.588 S
0.746 0.116 0.795 S
0.974 0.614 0.559 Cu
0.526 0.386 0.059 Cu
0.474 0.886 0.441 Cu
0.026 0.114 0.941 Cu
0.580 0.380 0.367 Sb
0.920 0.620 0.867 Sb
0.420 0.880 0.133 Sb
0.080 0.120 0.633 Sb
```

Properties
**VASP energy**: -4.726 eV/atom
**Crystal system**: orthorhombic